The following is a PBE calculation of crystalline SrTaV2Au at its relaxed geometry, from Alexandria via LeMat-Bulk.

```
5
Lattice="4.637 0.000 0.000 0.000 4.637 0.000 0.000 0.000 5.123" Properties=species:S:1:pos:R:3 pbc="T T T"
Sr 0.000 0.000 0.000
V 0.000 2.318 0.000
V 2.318 0.000 0.000
Au 0.000 0.000 2.562
Ta 2.318 2.318 2.562
```

Computed properties:
ΔE_f	2348.4	meV/atom
Fermi-level density of states	7.9	states/eV/cell
size of the total moment	0.62	μB/atom